Run a
# PBE-GGA TcPtSe4, optimized geometry
data_TcPtSe4
_cell_length_a 3.484
_cell_length_b 6.720
_cell_length_c 6.680
_cell_angle_alpha 120.78
_cell_angle_beta 89.98
_cell_angle_gamma 105.05
_symmetry_space_group_name_H-M 'P 1'
_symmetry_Int_Tables_number 1
loop_
_symmetry_equiv_pos_as_xyz
'x,y,z'
loop_
_atom_site_label
_atom_site_type_symbol
_atom_site_fract_x
_atom_site_fract_y
_atom_site_fract_z
Tc1 Tc 0.500 0.000 0.500
Pt1 Pt 0.000 0.000 0.000
Se1 Se 0.872 0.746 0.549
Se2 Se 0.128 0.254 0.451
Se3 Se 0.375 0.750 0.055
Se4 Se 0.625 0.250 0.945
# Calculated volume ... 21.35 A^3/atom
# Crystal system ... monoclinic
# Spin magnetization ... 0.004 μB per atom

***

Run b
# PBE-GGA TcPtSe4, optimized geometry
data_TcPtSe4
_cell_length_a 5.554
_cell_length_b 5.554
_cell_length_c 5.554
_cell_angle_alpha 60.00
_cell_angle_beta 60.00
_cell_angle_gamma 60.00
_symmetry_space_group_name_H-M 'P 1'
_symmetry_Int_Tables_number 1
loop_
_symmetry_equiv_pos_as_xyz
'x,y,z'
loop_
_atom_site_label
_atom_site_type_symbol
_atom_site_fract_x
_atom_site_fract_y
_atom_site_fract_z
Tc1 Tc 0.750 0.750 0.750
Pt1 Pt 0.000 0.000 0.000
Se1 Se 0.878 0.374 0.374
Se2 Se 0.374 0.374 0.878
Se3 Se 0.374 0.878 0.374
Se4 Se 0.374 0.374 0.374
# Calculated volume ... 20.19 A^3/atom
# Crystal system ... cubic
# Spin magnetization ... 0.693 μB per atom

***

Best to worst by energy: run a, run b.

***

Run a
# PBE-GGA TcPtSe, optimized geometry
data_TcPtSe
_cell_length_a 4.100
_cell_length_b 4.100
_cell_length_c 3.361
_cell_angle_alpha 90.00
_cell_angle_beta 90.00
_cell_angle_gamma 120.00
_symmetry_space_group_name_H-M 'P 1'
_symmetry_Int_Tables_number 1
loop_
_symmetry_equiv_pos_as_xyz
'x,y,z'
loop_
_atom_site_label
_atom_site_type_symbol
_atom_site_fract_x
_atom_site_fract_y
_atom_site_fract_z
Pt1 Pt 0.000 0.000 0.030
Se1 Se 0.667 0.333 0.411
Tc1 Tc 0.333 0.667 0.559
# Calculated volume ... 16.31 A^3/atom
# Crystal system ... trigonal
# Spin magnetization ... 0.000 μB per atom

***

Run b
# PBE-GGA TcPtSe, optimized geometry
data_TcPtSe
_cell_length_a 6.492
_cell_length_b 6.492
_cell_length_c 6.492
_cell_angle_alpha 154.15
_cell_angle_beta 154.15
_cell_angle_gamma 36.88
_symmetry_space_group_name_H-M 'P 1'
_symmetry_Int_Tables_number 1
loop_
_symmetry_equiv_pos_as_xyz
'x,y,z'
loop_
_atom_site_label
_atom_site_type_symbol
_atom_site_fract_x
_atom_site_fract_y
_atom_site_fract_z
Pt1 Pt 0.027 0.027 0.000
Se1 Se 0.300 0.300 0.000
Tc1 Tc 0.674 0.674 0.000
# Calculated volume ... 17.31 A^3/atom
# Crystal system ... tetragonal
# Spin magnetization ... 0.000 μB per atom

***

Best to worst by energy: run b, run a.

***

Run a
# PBE-GGA TcPtSe, optimized geometry
data_TcPtSe
_cell_length_a 3.067
_cell_length_b 3.067
_cell_length_c 12.478
_cell_angle_alpha 90.00
_cell_angle_beta 90.00
_cell_angle_gamma 120.00
_symmetry_space_group_name_H-M 'P 1'
_symmetry_Int_Tables_number 1
loop_
_symmetry_equiv_pos_as_xyz
'x,y,z'
loop_
_atom_site_label
_atom_site_type_symbol
_atom_site_fract_x
_atom_site_fract_y
_atom_site_fract_z
Pt1 Pt 0.333 0.665 0.000
Pt2 Pt 0.333 0.667 0.500
Tc1 Tc 0.667 0.334 0.331
Tc2 Tc 0.667 0.334 0.669
Se1 Se 0.333 0.667 0.804
Se2 Se 0.333 0.667 0.196
# Calculated volume ... 16.94 A^3/atom
# Crystal system ... hexagonal
# Spin magnetization ... 0.000 μB per atom

***

Run b
# PBE-GGA TcPtSe, optimized geometry
data_TcPtSe
_cell_length_a 4.263
_cell_length_b 4.263
_cell_length_c 4.263
_cell_angle_alpha 60.00
_cell_angle_beta 60.00
_cell_angle_gamma 60.00
_symmetry_space_group_name_H-M 'P 1'
_symmetry_Int_Tables_number 1
loop_
_symmetry_equiv_pos_as_xyz
'x,y,z'
loop_
_atom_site_label
_atom_site_type_symbol
_atom_site_fract_x
_atom_site_fract_y
_atom_site_fract_z
Pt1 Pt 0.000 0.000 0.000
Se1 Se 0.500 0.500 0.500
Tc1 Tc 0.750 0.750 0.750
# Calculated volume ... 18.26 A^3/atom
# Crystal system ... cubic
# Spin magnetization ... 0.000 μB per atom

***

Best to worst by energy: run a, run b.

***

Run a
# PBE-GGA TcPtSe, optimized geometry
data_TcPtSe
_cell_length_a 7.961
_cell_length_b 7.732
_cell_length_c 2.799
_cell_angle_alpha 84.39
_cell_angle_beta 75.13
_cell_angle_gamma 20.48
_symmetry_space_group_name_H-M 'P 1'
_symmetry_Int_Tables_number 1
loop_
_symmetry_equiv_pos_as_xyz
'x,y,z'
loop_
_atom_site_label
_atom_site_type_symbol
_atom_site_fract_x
_atom_site_fract_y
_atom_site_fract_z
Pt1 Pt 0.020 0.020 0.980
Se1 Se 0.307 0.307 0.693
Tc1 Tc 0.673 0.673 0.327
# Calculated volume ... 17.61 A^3/atom
# Crystal system ... orthorhombic
# Spin magnetization ... 0.000 μB per atom

***

Run b
# PBE-GGA TcPtSe, optimized geometry
data_TcPtSe
_cell_length_a 2.958
_cell_length_b 2.958
_cell_length_c 6.583
_cell_angle_alpha 90.00
_cell_angle_beta 90.00
_cell_angle_gamma 120.00
_symmetry_space_group_name_H-M 'P 1'
_symmetry_Int_Tables_number 1
loop_
_symmetry_equiv_pos_as_xyz
'x,y,z'
loop_
_atom_site_label
_atom_site_type_symbol
_atom_site_fract_x
_atom_site_fract_y
_atom_site_fract_z
Pt1 Pt 0.000 0.000 0.980
Se1 Se 0.667 0.333 0.375
Tc1 Tc 0.333 0.667 0.644
# Calculated volume ... 16.63 A^3/atom
# Crystal system ... trigonal
# Spin magnetization ... 0.000 μB per atom

***

Best to worst by energy: run b, run a.

***

Run a
# PBE-GGA TePtSe4, optimized geometry
data_TePtSe4
_cell_length_a 3.850
_cell_length_b 6.650
_cell_length_c 7.601
_cell_angle_alpha 117.81
_cell_angle_beta 104.67
_cell_angle_gamma 90.00
_symmetry_space_group_name_H-M 'P 1'
_symmetry_Int_Tables_number 1
loop_
_symmetry_equiv_pos_as_xyz
'x,y,z'
loop_
_atom_site_label
_atom_site_type_symbol
_atom_site_fract_x
_atom_site_fract_y
_atom_site_fract_z
Te1 Te 0.000 0.000 0.000
Pt1 Pt 0.500 0.500 0.000
Se1 Se 0.889 0.248 0.778
Se2 Se 0.111 0.752 0.222
Se3 Se 0.377 0.670 0.754
Se4 Se 0.623 0.330 0.246
# Calculated volume ... 27.49 A^3/atom
# Crystal system ... monoclinic
# Spin magnetization ... 0.000 μB per atom

***

Run b
# PBE-GGA TePtSe4, optimized geometry
data_TePtSe4
_cell_length_a 5.672
_cell_length_b 5.672
_cell_length_c 5.672
_cell_angle_alpha 60.00
_cell_angle_beta 60.00
_cell_angle_gamma 60.00
_symmetry_space_group_name_H-M 'P 1'
_symmetry_Int_Tables_number 1
loop_
_symmetry_equiv_pos_as_xyz
'x,y,z'
loop_
_atom_site_label
_atom_site_type_symbol
_atom_site_fract_x
_atom_site_fract_y
_atom_site_fract_z
Te1 Te 0.750 0.750 0.750
Pt1 Pt 0.000 0.000 0.000
Se1 Se 0.883 0.372 0.372
Se2 Se 0.372 0.372 0.883
Se3 Se 0.372 0.883 0.372
Se4 Se 0.372 0.372 0.372
# Calculated volume ... 21.51 A^3/atom
# Crystal system ... cubic
# Spin magnetization ... 0.000 μB per atom

***

Best to worst by energy: run a, run b.

***

Run a
# PBE-GGA Te3PtSe, optimized geometry
data_Te3PtSe
_cell_length_a 5.284
_cell_length_b 5.284
_cell_length_c 5.284
_cell_angle_alpha 90.00
_cell_angle_beta 90.00
_cell_angle_gamma 90.00
_symmetry_space_group_name_H-M 'P 1'
_symmetry_Int_Tables_number 1
loop_
_symmetry_equiv_pos_as_xyz
'x,y,z'
loop_
_atom_site_label
_atom_site_type_symbol
_atom_site_fract_x
_atom_site_fract_y
_atom_site_fract_z
Te1 Te 0.000 0.500 0.000
Te2 Te 0.000 0.000 0.500
Te3 Te 0.500 0.000 0.000
Se1 Se 0.500 0.500 0.500
Pt1 Pt 0.000 0.000 0.000
# Calculated volume ... 29.51 A^3/atom
# Crystal system ... cubic
# Spin magnetization ... 0.000 μB per atom

***

Run b
# PBE-GGA Te3PtSe, optimized geometry
data_Te3PtSe
_cell_length_a 5.344
_cell_length_b 5.344
_cell_length_c 5.344
_cell_angle_alpha 90.00
_cell_angle_beta 90.00
_cell_angle_gamma 90.00
_symmetry_space_group_name_H-M 'P 1'
_symmetry_Int_Tables_number 1
loop_
_symmetry_equiv_pos_as_xyz
'x,y,z'
loop_
_atom_site_label
_atom_site_type_symbol
_atom_site_fract_x
_atom_site_fract_y
_atom_site_fract_z
Te1 Te 0.000 0.500 0.000
Te2 Te 0.000 0.000 0.500
Te3 Te 0.500 0.000 0.000
Se1 Se 0.000 0.000 0.000
Pt1 Pt 0.500 0.500 0.500
# Calculated volume ... 30.52 A^3/atom
# Crystal system ... cubic
# Spin magnetization ... 0.000 μB per atom

***

Best to worst by energy: run a, run b.